Record 1
VASP calculation (PBE-GGA) on In5Hg12Te3 after structural relaxation.

Values from the calculation:
E_form (uncorrected) = 3.8 kJ per mole of atoms
Final energy = -1.298 eV per atom

Cell: 15.1619 15.1619 15.1619 Å, 109.47 109.47 109.47°
Positions (direct):
Te 0.7500 0.3750 0.1250
Te 0.8750 0.7500 0.1250
Te 0.3750 0.7500 0.6250
Te 0.2500 0.1250 0.3750
Te 0.8750 0.1250 0.2500
Te 0.3750 0.6250 0.2500
Te 0.6250 0.3750 0.7500
Te 0.1250 0.8750 0.7500
Te 0.7500 0.8750 0.6250
Te 0.6250 0.2500 0.3750
Te 0.1250 0.2500 0.8750
Te 0.2500 0.6250 0.8750
In 0.1250 0.3750 0.2500
In 0.0000 0.5000 0.0000
In 0.0000 0.0000 0.0000
In 0.3750 0.2500 0.1250
In 0.5000 0.0000 0.5000
In 0.5000 0.5000 0.0000
In 0.1250 0.7500 0.3750
In 0.7500 0.1250 0.8750
In 0.7500 0.6250 0.3750
In 0.3750 0.1250 0.7500
In 0.6250 0.8750 0.2500
In 0.5000 0.5000 0.5000
In 0.5000 0.0000 0.0000
In 0.0000 0.0000 0.5000
In 0.2500 0.3750 0.6250
In 0.2500 0.8750 0.1250
In 0.0000 0.5000 0.5000
In 0.8750 0.2500 0.6250
In 0.6250 0.7500 0.8750
In 0.8750 0.6250 0.7500
Hg 0.7262 0.1251 0.0542
Hg 0.3281 0.5542 0.4291
Hg 0.9458 0.3749 0.2738
Hg 0.5542 0.2262 0.1251
Hg 0.6010 0.7262 0.6719
Hg 0.9458 0.5709 0.1719
Hg 0.3281 0.7738 0.3990
Hg 0.0709 0.8990 0.1251
Hg 0.5709 0.9458 0.6719
Hg 0.7262 0.6010 0.1719
Hg 0.7738 0.4458 0.3749
Hg 0.8281 0.9291 0.0542
Hg 0.1251 0.7262 0.5542
Hg 0.3749 0.4291 0.1010
Hg 0.1010 0.9291 0.3749
Hg 0.3990 0.1251 0.5709
Hg 0.1010 0.1719 0.2262
Hg 0.4458 0.6719 0.0709
Hg 0.8281 0.8990 0.2738
Hg 0.1251 0.3990 0.0709
Hg 0.3749 0.9458 0.7738
Hg 0.5709 0.6251 0.3990
Hg 0.9291 0.8281 0.5542
Hg 0.7738 0.3281 0.8990
Hg 0.4291 0.3749 0.6010
Hg 0.0709 0.1719 0.4458
Hg 0.2262 0.6719 0.1010
Hg 0.1719 0.1010 0.7262
Hg 0.6251 0.0542 0.2262
Hg 0.8749 0.6010 0.9291
Hg 0.5542 0.3281 0.9291
Hg 0.6010 0.8749 0.4291
Hg 0.8990 0.8281 0.7738
Hg 0.8990 0.0709 0.6251
Hg 0.8749 0.2738 0.4458
Hg 0.1719 0.0709 0.9458
Hg 0.6251 0.5709 0.8990
Hg 0.4291 0.0542 0.3281
Hg 0.2738 0.3990 0.8281
Hg 0.2262 0.5542 0.6251
Hg 0.9291 0.1010 0.8749
Hg 0.6719 0.2262 0.6010
Hg 0.4458 0.7738 0.8749
Hg 0.0542 0.4291 0.8281
Hg 0.3990 0.2738 0.3281
Hg 0.0542 0.6251 0.7262
Hg 0.6719 0.4458 0.5709
Hg 0.2738 0.8749 0.9458

Record 2
VASP calculation (PBE-GGA) on In3HgTe2 after structural relaxation.

Values from the calculation:
Excess energy over the best structure of this formula in the dataset = 0.067 eV/f.u.
E_form (uncorrected) = -15.8 kJ per mole of atoms
Final energy = -2.630 eV per atom

Cell: 4.4896 4.4896 9.7399 Å, 103.32 103.32 90.00°
Positions (direct):
In 0.9338 0.9363 0.8739
In 0.2728 0.2735 0.5505
In 0.5962 0.5969 0.1973
Hg 0.4339 0.4361 0.8740
Te 0.1077 0.1089 0.2206
Te 0.7610 0.7623 0.5273

Record 3
VASP calculation (PBE-GGA) on InHg3Te4 after structural relaxation.

Values from the calculation:
Excess energy over the best structure of this formula in the dataset = 0.000 eV/f.u.
E_form (uncorrected) = -15.3 kJ per mole of atoms
Final energy = -2.184 eV per atom

Cell: 4.7949 4.7949 15.6156 Å, 81.17 81.17 60.00°
Positions (direct):
Te 0.0638 0.0638 0.8086
Te 0.8134 0.8134 0.5597
Te 0.5626 0.5626 0.3123
Te 0.3124 0.3124 0.0627
Hg 0.7510 0.7510 0.7469
Hg 0.4991 0.4991 0.5027
Hg 0.2466 0.2466 0.2601
In 0.0009 0.0009 0.9972

Record 4
VASP calculation (PBE-GGA) on InHg2Te after structural relaxation.

Values from the calculation:
Excess energy over the best structure of this formula in the dataset = 0.049 eV/f.u.
E_form (uncorrected) = -9.8 kJ per mole of atoms
Final energy = -1.723 eV per atom

Cell: 4.5041 5.5925 9.7950 Å, 97.75 90.00 90.00°
Positions (direct):
In 0.7500 0.9176 0.8058
In 0.2500 0.0824 0.1942
Hg 0.2500 0.8200 0.4329
Hg 0.7500 0.1800 0.5671
Hg 0.2500 0.2994 0.9359
Hg 0.7500 0.7006 0.0641
Te 0.7500 0.4117 0.3046
Te 0.2500 0.5883 0.6954

Taking the records one at a time from the top gives M_tot values of 0.0, 0.0, 0.0, 0.0 μB/cell.